A plane-wave DFT calculation with PBEsol was carried out for an optimized crystal structure of CdAg2.

The structure belongs to space group Immm (No. 71); the cell edges are 2.963, 4.042 and 8.753 Å and the angles 90.00°, 90.00° and 90.00°. Symmetry generates all atoms from Cd at (0.000, 0.000, 0.000) and Ag at (0.000, 0.000, 0.332).

The total magnetization comes out at 0.00 μB per formula unit. The energy above the most stable polymorph in this dataset comes out at 0.002 eV/atom. The calculation puts the final energy at -8.01 eV/f.u. For the density of states at the Fermi level, the calculation gives 0.27 states/eV/atom. The volume comes out at 52 Å³/f.u.